Entry 1:
Tl4GaBi | PBE | optimized geometry

Values from the calculation:
calculated formation energy = 0.033 eV/atom
magnetic moment = 0.000 μB/f.u.
volume = 29.72 A^3/atom

POSCAR file:
```
Tl4GaBi
1.0
-3.0259 2.9506 3.8558
-2.6179 -2.8775 4.3917
8.3464 2.9284 8.9166
Tl Ga Bi
8 2 2
Cartesian
1.0189 3.5586 6.7440
4.3016 2.3203 6.0284
-3.7617 0.0521 5.4963
0.7657 0.4523 4.6520
-1.8822 0.0209 2.7511
3.8265 2.5577 9.7443
1.9369 2.5491 12.5121
-1.1240 0.4437 7.4198
0.5924 2.2290 9.5513
2.1101 0.7725 7.6128
-1.7328 3.1886 4.8562
7.0532 2.6903 7.9162
```

Entry 2:
TlGaBi | PBE | optimized geometry

Values from the calculation:
distance to the lowest polymorph of the same formula = 64 meV per atom
calculated formation energy = 0.073 eV/atom
magnetic moment = 0.000 μB/f.u.
volume = 30.83 A^3/atom

POSCAR file:
```
TlGaBi
1.0
-4.9101 0.5767 1.1513
-3.0218 -4.0645 0.3390
-1.7385 -1.4996 4.5272
Tl Ga Bi
1 1 1
Cartesian
-4.8352 -2.4937 3.0087
-2.4176 -1.2469 1.5044
0.0000 0.0000 0.0000
```

Entry 3:
Tl15GaBi4 | PBE | optimized geometry

Values from the calculation:
calculated formation energy = -0.003 eV/atom
magnetic moment = 0.000 μB/f.u.
volume = 30.86 A^3/atom

POSCAR file:
```
Tl15GaBi4
1.0
5.0968 0.0000 0.0000
0.0000 5.0968 0.0000
0.0000 0.0000 23.7591
Bi Tl Ga
4 15 1
Cartesian
0.0000 0.0000 19.2653
0.0000 0.0000 4.4937
0.0000 0.0000 14.3511
0.0000 0.0000 9.4080
2.5484 0.0000 2.1930
2.5484 2.5484 19.1290
2.5484 0.0000 21.5661
2.5484 0.0000 16.7435
0.0000 2.5484 7.0155
0.0000 2.5484 16.7435
0.0000 2.5484 2.1930
2.5484 2.5484 0.0000
2.5484 2.5484 9.4670
2.5484 0.0000 11.8795
0.0000 2.5484 21.5661
0.0000 2.5484 11.8795
2.5484 0.0000 7.0155
2.5484 2.5484 4.6300
2.5484 2.5484 14.2921
0.0000 0.0000 0.0000
```

Entry 4:
Tl3Ga3Bi | PBE | optimized geometry

Values from the calculation:
calculated formation energy = 0.549 eV/atom
magnetic moment = 0.881 μB/f.u.
volume = 34.59 A^3/atom

POSCAR file:
```
Tl3Ga3Bi
1.0
-4.6295 -5.9669 -2.1506
6.1193 -4.9022 0.4287
-1.6684 -1.4231 7.5401
Ga Tl Bi
6 6 2
Cartesian
-4.3063 -5.1868 2.1571
2.6426 -2.8069 2.0994
2.2747 -6.6601 -0.7537
-1.9916 -2.2033 3.2324
-0.7849 -4.2090 -0.9681
1.8084 -3.5185 5.8694
-3.5660 -4.0508 4.5798
-2.7318 -3.3392 0.8097
3.7553 -4.3883 4.0916
0.6956 -1.9371 3.8772
1.9023 -3.9429 -0.3233
-0.4125 -6.9263 -1.3986
0.0000 0.0000 0.0000
-0.0893 -6.1462 2.9091
```

Entry 5:
TlGa2Bi | PBE | optimized geometry

Values from the calculation:
distance to the lowest polymorph of the same formula = 181 meV per atom
calculated formation energy = 0.220 eV/atom
magnetic moment = 0.000 μB/f.u.
volume = 33.90 A^3/atom

POSCAR file:
```
TlGa2Bi
1.0
6.7038 0.0000 0.0000
0.0000 6.7038 0.0000
3.3519 3.3519 6.0341
Bi Ga Tl
2 4 2
Cartesian
6.7038 3.3519 3.0170
0.0000 0.0000 0.0000
1.6691 5.0278 1.5085
5.0278 5.0210 4.5256
5.0347 1.6759 1.5085
8.3797 8.3865 4.5256
3.3519 6.7038 3.0170
3.3519 3.3519 0.0000
```

Entry 6:
TlGa2Bi | PBE | optimized geometry

Values from the calculation:
distance to the lowest polymorph of the same formula = 0 meV per atom
calculated formation energy = 0.038 eV/atom
magnetic moment = 0.000 μB/f.u.
volume = 26.45 A^3/atom

POSCAR file:
```
TlGa2Bi
1.0
-2.4208 1.4893 3.5057
-1.8135 -4.1393 0.5063
8.1227 -1.5412 6.2636
Ga Tl Bi
4 2 2
Cartesian
1.9519 -3.3197 7.1156
2.1668 -3.3542 4.3737
1.7217 -0.8370 5.9019
1.9366 -0.8715 3.1600
-1.0085 -2.1862 4.5899
4.8970 -2.0051 5.6857
4.3984 -3.5748 8.9134
-0.5099 -0.6164 1.3622
```

Entry 7:
TlGa2Bi2 | PBE | optimized geometry

Values from the calculation:
distance to the lowest polymorph of the same formula = 27 meV per atom
calculated formation energy = 0.062 eV/atom
magnetic moment = 0.000 μB/f.u.
volume = 27.44 A^3/atom

POSCAR file:
```
TlGa2Bi2
1.0
8.3970 0.0000 0.0000
0.0000 8.3970 0.0000
0.0000 0.0000 3.8919
Ga Bi Tl
4 4 2
Cartesian
5.2936 1.0950 0.0000
7.3020 5.2936 0.0000
3.1035 7.3020 0.0000
1.0950 3.1035 0.0000
2.8797 1.3188 1.9459
7.0782 2.8797 1.9459
1.3188 5.5174 1.9459
5.5174 7.0782 1.9459
4.1985 4.1985 0.0000
0.0000 0.0000 0.0000
```

Entry 8:
TlGaBi2 | PBE | optimized geometry

Values from the calculation:
distance to the lowest polymorph of the same formula = 52 meV per atom
calculated formation energy = 0.115 eV/atom
magnetic moment = 0.000 μB/f.u.
volume = 30.24 A^3/atom

POSCAR file:
```
TlGaBi2
1.0
4.2775 0.0000 0.0000
2.1387 3.7044 0.0000
2.1387 1.2348 7.6346
Bi Ga Tl
2 1 1
Cartesian
6.4162 3.7044 6.0334
2.1387 1.2348 1.6012
0.0000 0.0000 0.0000
4.2775 2.4696 3.8173
```

Entry 9:
TlGaBi2 | PBE | optimized geometry

Values from the calculation:
distance to the lowest polymorph of the same formula = 0 meV per atom
calculated formation energy = 0.063 eV/atom
magnetic moment = 0.000 μB/f.u.
volume = 29.33 A^3/atom

POSCAR file:
```
TlGaBi2
1.0
3.9323 0.0000 0.0000
0.0000 3.9323 0.0000
0.0000 0.0000 7.5873
Ga Bi Tl
1 2 1
Cartesian
1.9661 1.9661 0.0000
0.0000 0.0000 6.0007
0.0000 0.0000 1.5866
1.9661 1.9661 3.7936
```

Entry 10:
TlGa3Bi3 | PBE | optimized geometry

Values from the calculation:
calculated formation energy = 0.166 eV/atom
magnetic moment = 0.000 μB/f.u.
volume = 35.87 A^3/atom

POSCAR file:
```
TlGa3Bi3
1.0
-3.2858 7.1618 -1.0450
-6.9482 -2.8001 2.6573
2.0261 2.0119 7.4180
Bi Ga Tl
6 6 2
Cartesian
-0.1233 5.0898 5.0410
-1.1364 4.0839 1.3320
-4.1981 -1.0941 5.7019
-0.7240 0.3059 4.3733
-5.9385 3.9713 0.5449
-4.2956 0.3904 1.0674
-3.3800 2.8809 0.1418
-2.9676 -0.8971 3.1831
-1.4513 6.3773 2.9253
-1.9545 0.1089 6.8921
0.1916 2.7964 3.4478
-6.8541 1.4808 1.4705
0.0000 0.0000 0.0000
-4.1040 3.1868 4.5151
```

Entry 11:
TlGaBi3 | PBE | optimized geometry

Values from the calculation:
distance to the lowest polymorph of the same formula = 0 meV per atom
calculated formation energy = 0.352 eV/atom
magnetic moment = 0.000 μB/f.u.
volume = 34.80 A^3/atom

POSCAR file:
```
TlGaBi3
1.0
-0.4339 -2.5902 4.9266
-2.2578 -4.4348 -2.5305
5.0875 -2.1891 -0.7028
Ga Bi Tl
1 3 1
Cartesian
0.0000 0.0000 0.0000
-0.2169 -1.2951 2.4633
-1.1289 -2.2174 -1.2652
2.5437 -1.0945 -0.3514
1.1979 -4.6070 0.8466
```

Entry 12:
TlGaBi3 | PBE | optimized geometry

Values from the calculation:
distance to the lowest polymorph of the same formula = 419 meV per atom
calculated formation energy = 0.770 eV/atom
magnetic moment = 0.000 μB/f.u.
volume = 40.69 A^3/atom

POSCAR file:
```
TlGaBi3
1.0
5.8815 0.0000 0.0000
0.0000 5.8815 0.0000
0.0000 0.0000 5.8815
Bi Ga Tl
3 1 1
Cartesian
0.0000 0.0000 2.9408
0.0000 2.9408 0.0000
2.9408 0.0000 0.0000
2.9408 2.9408 2.9408
0.0000 0.0000 0.0000
```

Entry 13:
Tl12Ga3Bi5 | PBE | optimized geometry

Values from the calculation:
calculated formation energy = 0.188 eV/atom
magnetic moment = 0.000 μB/f.u.
volume = 36.27 A^3/atom

POSCAR file:
```
Tl12Ga3Bi5
1.0
15.5625 0.0000 0.0000
-5.1875 14.6724 0.0000
-5.1875 -7.3362 12.7067
Bi Ga Tl
20 12 48
Cartesian
5.1875 7.3362 0.0000
2.5937 3.6681 6.3534
-1.2969 0.9170 7.9417
5.1875 -3.6681 6.3534
-1.2969 3.6681 3.1767
-3.8906 8.2532 4.7650
-1.2969 11.9214 1.5883
6.4844 -4.5851 11.1184
3.8906 2.7511 1.5883
-2.5937 -3.6681 6.3534
0.0000 0.0000 0.0000
1.2969 -3.6681 9.5300
3.8906 11.0043 3.1767
-5.1875 3.6681 6.3534
6.4844 6.4192 4.7650
1.2969 4.5851 11.1184
7.7812 0.0000 0.0000
9.0781 -0.9170 7.9417
6.4844 3.6681 9.5300
-2.5937 7.3362 0.0000
3.8906 0.0000 9.5300
-3.8906 2.7511 11.1184
9.0781 10.0873 1.5883
-6.4844 7.3362 9.5300
-3.8906 -2.7511 11.1184
11.6719 0.0000 3.1767
1.2969 7.3362 3.1767
-1.2969 6.4192 7.9417
6.4844 0.9170 4.7650
3.8906 8.2532 7.9417
1.2969 -0.9170 4.7650
9.0781 4.5851 1.5883
3.0298 1.4026 4.2003
-0.3124 9.0288 1.3745
5.2744 2.1961 7.1319
2.9062 9.3729 0.7786
7.3452 8.0070 7.2388
10.6874 6.9922 2.1531
-2.5069 3.7298 8.0174
5.6235 6.6044 9.6682
-2.5069 -5.9260 11.8212
-0.0869 5.1401 5.5748
2.5069 -2.1961 7.1319
9.9389 0.6707 5.4679
10.2881 -3.7298 8.0174
7.4688 7.6803 2.1531
10.4618 1.4102 0.8855
9.5396 -4.7884 11.0427
-1.7584 4.7884 11.0427
4.7514 -1.4026 4.2003
2.2813 1.6926 11.3322
2.9062 5.6436 1.3745
-0.3124 5.2996 0.7786
7.6944 13.2622 0.8855
-4.7514 6.6655 7.2388
-3.0298 8.0681 9.6682
-2.1577 -0.6707 5.4679
-6.0228 3.8353 9.3919
-5.1006 11.0660 4.6893
6.9459 2.5479 1.6640
6.0228 -0.9531 7.7279
-4.3521 12.1246 1.6640
-0.8354 8.2893 4.9789
7.6944 3.6064 4.6893
-2.2813 -0.3441 10.5536
-5.2744 5.9260 11.8212
-0.4361 0.7319 3.0385
6.9459 11.1715 3.3148
11.2103 3.5009 3.3148
2.6806 9.5324 5.5748
2.1577 5.9336 8.5064
0.4361 8.7388 8.5064
-1.7584 -3.8353 9.3919
3.4291 6.3832 4.9789
5.4999 2.0366 11.9281
5.4999 -1.6926 11.3322
8.2173 -0.7319 3.0385
2.2813 -2.0366 11.9281
1.7584 0.9531 7.7279
-5.4999 0.3441 10.5536
```

Entry 14:
Tl3GaBi | PBE | optimized geometry

Values from the calculation:
distance to the lowest polymorph of the same formula = 0 meV per atom
calculated formation energy = 0.048 eV/atom
magnetic moment = 0.000 μB/f.u.
volume = 30.69 A^3/atom

POSCAR file:
```
Tl3GaBi
1.0
-5.1954 2.4493 -4.3568
-0.9716 -6.4922 -2.4911
-8.1635 -1.5915 8.8401
Bi Tl Ga
4 12 4
Cartesian
-6.8171 -2.9091 3.3838
-2.6241 -2.1658 -0.9430
-7.5135 -2.7253 -1.3917
-11.7064 -3.4686 2.9351
-8.5929 -4.9337 1.3104
-4.8998 -0.7823 -3.0169
-4.8900 -4.2727 0.9738
-6.9362 -2.9946 -5.1433
-9.4307 -4.8521 5.0090
-7.3943 -2.6398 7.1354
-5.7377 -0.7007 0.6817
-4.8991 -4.3390 -2.3691
-6.5511 -6.2803 4.0886
-7.7795 0.6459 -2.0965
-9.4314 -1.2954 4.3612
-9.4405 -1.3617 1.0183
-1.8317 0.5613 -1.2982
-9.1276 -5.0649 -1.7255
-5.2029 -0.5695 3.7176
-12.4989 -6.1957 3.2904
```

Entry 15:
TlGaBi | PBE | optimized geometry

Values from the calculation:
distance to the lowest polymorph of the same formula = 59 meV per atom
calculated formation energy = 0.068 eV/atom
magnetic moment = 0.000 μB/f.u.
volume = 30.81 A^3/atom

POSCAR file:
```
TlGaBi
1.0
5.4488 0.0000 0.0000
0.0000 4.4259 0.0000
0.0000 -2.2129 3.8329
Bi Tl Ga
1 1 1
Cartesian
1.4303 0.0000 2.5553
3.8119 2.2129 1.2776
0.2066 0.0000 0.0000
```

Entry 16:
TlZnGaBi | PBE | optimized geometry

Values from the calculation:
calculated formation energy = 0.106 eV/atom
magnetic moment = 0.000 μB/f.u.
volume = 25.30 A^3/atom

POSCAR file:
```
TlZnGaBi
1.0
-3.6633 2.3965 -2.8632
-3.4928 -2.8282 -2.6764
-5.0010 -0.1085 1.5296
Tl Ga Zn Bi
1 1 1 1
Cartesian
-6.0786 -0.2701 -2.0050
-3.0393 -0.1350 -1.0025
-9.1179 -0.4051 -3.0075
0.0000 0.0000 0.0000
```

Entry 17:
Tm8GaBi2 | PBE | optimized geometry

Values from the calculation:
calculated formation energy = -0.331 eV/atom
magnetic moment = 0.002 μB/f.u.
volume = 28.24 A^3/atom

POSCAR file:
```
Tm8GaBi2
1.0
-1.3189 -4.5322 -1.7952
6.5537 -1.7467 -0.4054
0.6435 -1.0665 9.3227
Tm Bi Ga
8 2 1
Cartesian
2.8273 -3.4851 6.7214
4.2903 -6.7349 6.7477
2.3922 -2.0744 3.4794
1.5880 -0.6104 0.3744
5.9600 -3.8999 5.4667
3.0510 -3.8602 0.4008
3.4861 -5.2710 3.6427
-0.0818 -3.4455 1.6554
5.3839 -2.5599 2.5073
0.4944 -4.7854 4.6148
-0.6595 -2.2661 -0.8976
```

Entry 18:
TmGa2Bi | PBE | optimized geometry

Values from the calculation:
distance to the lowest polymorph of the same formula = 0 meV per atom
calculated formation energy = -0.362 eV/atom
magnetic moment = 0.000 μB/f.u.
volume = 23.11 A^3/atom

POSCAR file:
```
TmGa2Bi
1.0
4.3647 0.0000 0.0000
0.0000 4.6018 0.0000
0.0000 0.0000 4.6018
Ga Tm Bi
2 1 1
Cartesian
0.0000 0.0000 2.3009
0.0000 2.3009 0.0000
2.1823 2.3009 2.3009
2.1823 0.0000 0.0000
```

Entry 19:
Tm8Ga2Bi | PBE | optimized geometry

Values from the calculation:
calculated formation energy = -0.293 eV/atom
magnetic moment = 0.000 μB/f.u.
volume = 27.78 A^3/atom

POSCAR file:
```
Tm8Ga2Bi
1.0
-2.1067 3.5530 -2.4753
-5.7946 -0.7850 3.8050
5.9133 4.5110 6.1264
Tm Ga Bi
8 2 1
Cartesian
0.8747 4.6705 5.9597
-2.8626 2.6085 1.4965
0.1770 2.4079 3.3056
-5.0799 3.1091 4.1022
3.0919 4.1699 3.3539
-2.1650 4.8711 4.1505
-4.0382 -0.1956 3.1562
2.0503 7.4746 4.2999
0.4738 5.4963 2.8021
-2.4617 1.7827 4.6541
-1.0533 1.7765 -1.2376
```

Entry 20:
Tm5GaBi5 | PBE | optimized geometry

Values from the calculation:
calculated formation energy = -0.455 eV/atom
magnetic moment = 0.001 μB/f.u.
volume = 30.77 A^3/atom

POSCAR file:
```
Tm5GaBi5
1.0
-1.3560 0.5854 6.0134
-3.8034 -4.3670 -3.6206
9.0058 -3.6587 2.3870
Tm Bi Ga
5 5 1
Cartesian
-0.6780 0.2927 3.0067
6.2086 -4.4571 1.8339
2.5185 -4.8674 4.2298
1.3279 -2.5729 0.5499
-2.3622 -2.9832 2.9458
0.7984 -2.3816 3.6000
4.5029 -1.8294 1.1935
-1.4816 -3.6402 0.0203
3.0480 -5.0587 1.1798
5.3280 -3.8001 4.7595
0.0000 0.0000 0.0000
```